[1]
## LiNpAu4 (PBE)

Data for a relaxed LiNpAu4 crystal.

Calculated values
* mass density: 13936 kg/m³
* ΔH_f (0 K): -0.149 eV per atom

Unit cell a=5.581 b=5.581 c=5.581 alpha=60.00 beta=60.00 gamma=60.00
Each line ends with the local moment (μB).
Atoms (fractional coordinates):
Np  0.000  0.000  0.000  4.12
Au  0.624  0.624  0.127  0.04
Au  0.624  0.127  0.624  0.04
Au  0.624  0.624  0.624  0.04
Au  0.127  0.624  0.624  0.04
Li  0.250  0.250  0.250  0.02

[2]
## LiNpAu (PBE)

Data for a relaxed LiNpAu crystal.

Calculated values
* mass density: 13691 kg/m³
* ΔH_f (0 K): -0.268 eV per atom

Unit cell a=3.165 b=3.523 c=10.240 alpha=110.12 beta=86.25 gamma=89.99
Atoms (fractional coordinates):
Np  0.843  0.320  0.570
Np  0.157  0.680  0.430
Au  0.709  0.967  0.217
Au  0.291  0.033  0.783
Li  0.759  0.672  0.922
Li  0.241  0.328  0.078

[3]
## LiNpAuO6 (PBE)

Data for a relaxed LiNpAuO6 crystal.

Calculated values
* mass density: 7831 kg/m³
* uncorrected formation energy: -1.49 eV/atom

Unit cell a=4.913 b=4.913 c=9.433 alpha=90.00 beta=90.00 gamma=90.00
Atoms (fractional coordinates):
Li  0.500  0.500  0.837
Li  0.000  0.000  0.337
Np  0.500  0.500  0.502
Np  0.000  0.000  0.002
Au  0.500  0.500  0.163
Au  0.000  0.000  0.663
O  0.197  0.803  0.502
O  0.803  0.197  0.502
O  0.303  0.303  0.002
O  0.697  0.697  0.002
O  0.183  0.817  0.161
O  0.817  0.183  0.161
O  0.317  0.317  0.661
O  0.683  0.683  0.661
O  0.815  0.185  0.837
O  0.185  0.815  0.837
O  0.685  0.685  0.337
O  0.315  0.315  0.337

[4]
## Li3Np3AuS8 (PBE)

Data for a relaxed Li3Np3AuS8 crystal.

Calculated values
* mass density: 6192 kg/m³
* uncorrected formation energy: -1.09 eV/atom

Unit cell a=7.875 b=7.627 c=7.620 alpha=120.08 beta=90.00 gamma=121.08
Each line ends with the local moment (μB).
Atoms (fractional coordinates):
Li  0.000  0.000  0.000  0.00
Li  0.000  0.500  0.000  0.00
Li  0.500  0.500  0.000  0.00
Np  0.500  0.000  0.500  3.35
Np  0.500  0.500  0.500  3.40
Np  0.000  0.500  0.500  3.40
Au  0.000  0.000  0.500  -0.14
S  0.244  0.487  0.244  -0.09
S  0.756  0.513  0.756  -0.09
S  0.764  0.527  0.268  -0.11
S  0.236  0.473  0.732  -0.11
S  0.731  0.002  0.244  -0.14
S  0.269  0.998  0.756  -0.14
S  0.271  0.002  0.244  -0.14
S  0.729  0.998  0.756  -0.14

[5]
## Li2NpSb2Au2 (PBE)

Data for a relaxed Li2NpSb2Au2 crystal.

Calculated values
* mass density: 10025 kg/m³
* uncorrected formation energy: -0.41 eV/atom

Unit cell a=4.517 b=4.517 c=8.727 alpha=75.00 beta=75.00 gamma=60.00
Each line ends with the local moment (μB).
Atoms (fractional coordinates):
Li  0.145  0.145  0.566  0.00
Li  0.855  0.855  0.434  0.00
Np  0.000  0.000  0.000  4.01
Sb  0.737  0.737  0.790  -0.04
Sb  0.263  0.263  0.210  -0.04
Au  0.557  0.557  0.329  -0.01
Au  0.443  0.443  0.671  -0.01

[6]
## Li3Np3AuSe8 (PBE)

Data for a relaxed Li3Np3AuSe8 crystal.

Calculated values
* mass density: 7173 kg/m³
* uncorrected formation energy: -0.96 eV/atom

Unit cell a=8.114 b=7.947 c=7.982 alpha=119.78 beta=90.00 gamma=120.70
Each line ends with the local moment (μB).
Atoms (fractional coordinates):
Li  0.000  0.000  0.000  -0.01
Li  0.000  0.500  0.000  -0.01
Li  0.500  0.500  0.000  -0.01
Np  0.500  0.000  0.500  3.52
Np  0.500  0.500  0.500  3.55
Np  0.000  0.500  0.500  3.55
Au  0.000  0.000  0.500  -0.10
Se  0.244  0.489  0.240  -0.09
Se  0.756  0.511  0.760  -0.09
Se  0.762  0.524  0.260  -0.10
Se  0.238  0.476  0.740  -0.10
Se  0.738  0.999  0.242  -0.14
Se  0.262  0.001  0.758  -0.14
Se  0.262  0.999  0.242  -0.14
Se  0.738  0.001  0.758  -0.14

[7]
## Li3Np2AuSe6 (PBE)

Data for a relaxed Li3Np2AuSe6 crystal.

Calculated values
* mass density: 7178 kg/m³
* uncorrected formation energy: -0.97 eV/atom

Unit cell a=6.893 b=6.893 c=6.928 alpha=99.78 beta=99.78 gamma=119.54
Each line ends with the local moment (μB).
Atoms (fractional coordinates):
Li  0.160  0.840  0.500  -0.01
Li  0.840  0.160  0.500  -0.01
Li  0.500  0.500  0.500  -0.01
Np  0.333  0.667  0.000  3.44
Np  0.667  0.333  0.000  3.44
Au  0.000  0.000  0.000  -0.11
Se  0.914  0.574  0.745  -0.12
Se  0.742  0.742  0.259  -0.12
Se  0.086  0.426  0.255  -0.12
Se  0.574  0.914  0.745  -0.12
Se  0.258  0.258  0.741  -0.12
Se  0.426  0.086  0.255  -0.12

[8]
## Li4Np3AuSe8 (PBE)

Data for a relaxed Li4Np3AuSe8 crystal.

Calculated values
* mass density: 7107 kg/m³
* uncorrected formation energy: -1.02 eV/atom

Unit cell a=7.969 b=7.987 c=8.115 alpha=120.41 beta=119.41 gamma=90.00
Each line ends with the local moment (μB).
Atoms (fractional coordinates):
Li  0.500  0.000  0.000  -0.01
Li  0.500  0.000  0.500  -0.01
Li  0.000  0.000  0.000  -0.01
Li  0.000  0.000  0.500  -0.01
Np  0.500  0.500  0.000  3.64
Np  0.500  0.500  0.500  3.63
Np  0.000  0.500  0.500  3.63
Au  0.000  0.500  0.000  -0.11
Se  0.245  0.749  0.997  -0.12
Se  0.264  0.765  0.528  -0.12
Se  0.250  0.242  0.500  -0.09
Se  0.752  0.749  0.997  -0.12
Se  0.248  0.251  0.003  -0.12
Se  0.750  0.758  0.500  -0.09
Se  0.736  0.235  0.472  -0.12
Se  0.755  0.251  0.003  -0.12

[9]
## LiNpTe3Au (PBE)

Data for a relaxed LiNpTe3Au crystal.

Calculated values
* mass density: 8554 kg/m³
* uncorrected formation energy: -0.54 eV/atom

Unit cell a=4.134 b=7.691 c=10.266 alpha=101.57 beta=90.00 gamma=90.00
Each line ends with the local moment (μB).
Atoms (fractional coordinates):
Li  0.250  0.670  0.148  -0.01
Li  0.750  0.330  0.852  -0.01
Np  0.250  0.224  0.290  3.64
Np  0.750  0.776  0.710  3.64
Te  0.750  0.940  0.160  -0.12
Te  0.250  0.060  0.840  -0.12
Te  0.250  0.668  0.471  -0.09
Te  0.750  0.332  0.529  -0.09
Te  0.750  0.411  0.146  -0.16
Te  0.250  0.589  0.854  -0.16
Au  0.250  0.103  0.581  -0.04
Au  0.750  0.897  0.419  -0.04

[10]
## LiNpZn2Au4 (PBE)

Data for a relaxed LiNpZn2Au4 crystal.

Calculated values
* mass density: 13109 kg/m³
* ΔH_f (0 K): -0.275 eV per atom

Unit cell a=4.537 b=4.537 c=8.666 alpha=74.83 beta=74.83 gamma=60.00
Each line ends with the local moment (μB).
Atoms (fractional coordinates):
Li  0.500  0.500  0.500  0.01
Np  0.000  0.000  0.000  3.82
Zn  0.757  0.757  0.730  0.00
Zn  0.243  0.243  0.270  0.00
Au  0.394  0.394  0.817  0.00
Au  0.870  0.870  0.390  0.01
Au  0.130  0.130  0.610  0.01
Au  0.606  0.606  0.183  0.00

[11]
## Li2AuO (PBE)

Data for a relaxed Li2AuO crystal.

Calculated values
* mass density: 7182 kg/m³
* uncorrected formation energy: -0.89 eV/atom

Unit cell a=6.400 b=6.400 c=5.200 alpha=52.02 beta=52.02 gamma=90.00
Atoms (fractional coordinates):
Au  0.000  0.000  0.000
Au  0.750  0.250  0.500
O  0.500  0.500  0.000
O  0.250  0.750  0.500
Li  0.248  0.125  0.250
Li  0.502  0.625  0.250
Li  0.375  0.752  0.750
Li  0.875  0.498  0.750

[12]
## LiAuO2 (PBE)

Data for a relaxed LiAuO2 crystal.

Calculated values
* mass density: 7884 kg/m³
* uncorrected formation energy: -0.88 eV/atom

Unit cell a=6.171 b=6.171 c=6.171 alpha=139.20 beta=139.20 gamma=59.06
Atoms (fractional coordinates):
Li  0.750  0.250  0.500
Li  0.000  0.000  0.000
Au  0.500  0.500  0.000
Au  0.250  0.750  0.500
O  0.122  0.625  0.997
O  0.628  0.125  0.003
O  0.375  0.878  0.003
O  0.875  0.372  0.997

- Which of these has the highest mass density?
  LiNpAu4

What did the tenth record say?
## LiNpZn2Au4 (PBE)

Data for a relaxed LiNpZn2Au4 crystal.

Calculated values
* mass density: 13109 kg/m³
* ΔH_f (0 K): -0.275 eV per atom

Unit cell a=4.537 b=4.537 c=8.666 alpha=74.83 beta=74.83 gamma=60.00
Each line ends with the local moment (μB).
Atoms (fractional coordinates):
Li  0.500  0.500  0.500  0.01
Np  0.000  0.000  0.000  3.82
Zn  0.757  0.757  0.730  0.00
Zn  0.243  0.243  0.270  0.00
Au  0.394  0.394  0.817  0.00
Au  0.870  0.870  0.390  0.01
Au  0.130  0.130  0.610  0.01
Au  0.606  0.606  0.183  0.00

Repeat the sixth record exactly.
## Li3Np3AuSe8 (PBE)

Data for a relaxed Li3Np3AuSe8 crystal.

Calculated values
* mass density: 7173 kg/m³
* uncorrected formation energy: -0.96 eV/atom

Unit cell a=8.114 b=7.947 c=7.982 alpha=119.78 beta=90.00 gamma=120.70
Each line ends with the local moment (μB).
Atoms (fractional coordinates):
Li  0.000  0.000  0.000  -0.01
Li  0.000  0.500  0.000  -0.01
Li  0.500  0.500  0.000  -0.01
Np  0.500  0.000  0.500  3.52
Np  0.500  0.500  0.500  3.55
Np  0.000  0.500  0.500  3.55
Au  0.000  0.000  0.500  -0.10
Se  0.244  0.489  0.240  -0.09
Se  0.756  0.511  0.760  -0.09
Se  0.762  0.524  0.260  -0.10
Se  0.238  0.476  0.740  -0.10
Se  0.738  0.999  0.242  -0.14
Se  0.262  0.001  0.758  -0.14
Se  0.262  0.999  0.242  -0.14
Se  0.738  0.001  0.758  -0.14